# 1
! Zr2In2F | the Alexandria database | GGA-PBE | relaxed; values from VASP
&SYSTEM
  ibrav = 0, nat = 5, ntyp = 3
/
ATOMIC_SPECIES
F 19.00 F.upf
Zr 91.22 Zr.upf
In 114.82 In.upf
CELL_PARAMETERS angstrom
3.979 0.000 0.000
0.000 3.979 0.000
1.990 1.990 7.394
ATOMIC_POSITIONS crystal
F 0.000 0.000 0.000
Zr 0.406 0.406 0.189
Zr 0.594 0.594 0.811
In 0.750 0.250 0.500
In 0.250 0.750 0.500
! - E above lowest polymorph (eV per atom) = 0.899
! - formation energy from raw total energies (eV per atom) = -0.0044

***

# 2
! Mg2IrRu2 | the Alexandria database | GGA-PBE | relaxed; values from VASP
&SYSTEM
  ibrav = 0, nat = 10, ntyp = 3
/
ATOMIC_SPECIES
Ru 101.07 Ru.upf
Mg 24.30 Mg.upf
Ir 192.22 Ir.upf
CELL_PARAMETERS angstrom
6.387 0.000 0.000
0.000 6.387 0.000
0.000 0.000 4.266
ATOMIC_POSITIONS crystal
Ru 0.372 0.872 0.000
Ru 0.872 0.628 0.000
Ru 0.628 0.128 0.000
Ru 0.128 0.372 0.000
Mg 0.176 0.676 0.500
Mg 0.676 0.824 0.500
Mg 0.824 0.324 0.500
Mg 0.324 0.176 0.500
Ir 0.000 0.000 0.000
Ir 0.500 0.500 0.000
! - calculated formation energy (eV per atom) = 0.1480
! - E above lowest polymorph (eV per atom) = 0.000

***

# 3
! Ca2NbB | the Alexandria database | GGA-PBE | relaxed; values from VASP
&SYSTEM
  ibrav = 0, nat = 8, ntyp = 3
/
ATOMIC_SPECIES
Nb 92.91 Nb.upf
B 10.81 B.upf
Ca 40.08 Ca.upf
CELL_PARAMETERS angstrom
10.117 0.000 0.000
0.000 10.117 0.000
5.059 5.059 2.171
ATOMIC_POSITIONS crystal
Nb 0.000 0.000 0.000
Nb 0.750 0.250 0.500
B 0.500 0.500 0.000
B 0.250 0.750 0.500
Ca 0.465 0.125 0.250
Ca 0.285 0.625 0.250
Ca 0.375 0.535 0.750
Ca 0.875 0.715 0.750
! - calculated formation energy (eV per atom) = 0.6426

***

# 4
! ZnHgAu | the Alexandria database | GGA-PBE | relaxed; values from VASP
&SYSTEM
  ibrav = 0, nat = 3, ntyp = 3
/
ATOMIC_SPECIES
Au 196.97 Au.upf
Hg 200.59 Hg.upf
Zn 65.41 Zn.upf
CELL_PARAMETERS angstrom
-1.817 -4.851 -3.670
0.672 -5.913 -2.192
-1.834 -1.680 1.822
ATOMIC_POSITIONS crystal
Au 0.981 0.981 0.019
Hg 0.673 0.673 0.327
Zn 0.345 0.345 0.655
! - calculated formation energy (eV per atom) = 0.0090
! - E above lowest polymorph (eV per atom) = 0.009

***

# 5
! MoPb2S | the Alexandria database | GGA-PBE | relaxed; values from VASP
&SYSTEM
  ibrav = 0, nat = 8, ntyp = 3
/
ATOMIC_SPECIES
Pb 207.20 Pb.upf
Mo 95.94 Mo.upf
S 32.06 S.upf
CELL_PARAMETERS angstrom
6.769 0.000 0.000
0.000 6.769 0.000
3.384 3.384 5.619
ATOMIC_POSITIONS crystal
Pb 0.622 0.125 0.250
Pb 0.128 0.625 0.250
Pb 0.375 0.378 0.750
Pb 0.875 0.872 0.750
Mo 0.000 0.000 0.000
Mo 0.750 0.250 0.500
S 0.500 0.500 0.000
S 0.250 0.750 0.500
! - formation energy from raw total energies (eV per atom) = 0.9232

***

# 6
# Na2H6W

A geometry-optimized Na2H6W structure (GGA-PBE, the Alexandria database). Values from VASP.

Cell and atoms, written as Quantum ESPRESSO input:
```
&SYSTEM
  ibrav = 0, nat = 9, ntyp = 3
/
ATOMIC_SPECIES
Na 22.99 Na.upf
W 183.84 W.upf
H 1.01 H.upf
CELL_PARAMETERS angstrom
4.665 0.000 2.693
1.555 4.398 2.693
0.000 0.000 5.386
ATOMIC_POSITIONS crystal
Na 0.750 0.750 0.750
Na 0.250 0.250 0.250
W 0.000 0.000 0.000
H 0.239 0.761 0.239
H 0.761 0.239 0.239
H 0.239 0.761 0.761
H 0.761 0.239 0.761
H 0.761 0.761 0.239
H 0.239 0.239 0.761
```

***

# 7
! PmSiRuRh | the Alexandria database | GGA-PBE | relaxed; values from VASP
&SYSTEM
  ibrav = 0, nat = 4, ntyp = 4
/
ATOMIC_SPECIES
Ru 101.07 Ru.upf
Si 28.09 Si.upf
Rh 102.91 Rh.upf
Pm 145.00 Pm.upf
CELL_PARAMETERS angstrom
4.569 0.000 0.000
2.285 3.957 0.000
2.285 1.319 3.731
ATOMIC_POSITIONS crystal
Ru 0.500 0.500 0.500
Si 0.750 0.750 0.750
Rh 0.000 0.000 0.000
Pm 0.250 0.250 0.250
! - formation energy from raw total energies (eV per atom) = -0.4322

***

# 8
! Be2ReHg | the Alexandria database | GGA-PBE | relaxed; values from VASP
&SYSTEM
  ibrav = 0, nat = 4, ntyp = 3
/
ATOMIC_SPECIES
Re 186.21 Re.upf
Hg 200.59 Hg.upf
Be 9.01 Be.upf
CELL_PARAMETERS angstrom
5.013 0.003 0.001
1.924 4.629 -0.001
-2.714 -3.446 2.427
ATOMIC_POSITIONS crystal
Re 0.250 0.750 0.500
Hg 0.750 0.250 0.500
Be 0.012 0.012 0.000
Be 0.488 0.488 0.000
! - calculated formation energy (eV per atom) = 0.6499

***

# 9
! BaMg4CdIn2 | the Alexandria database | GGA-PBE | relaxed; values from VASP
&SYSTEM
  ibrav = 0, nat = 8, ntyp = 4
/
ATOMIC_SPECIES
Ba 137.33 Ba.upf
Mg 24.30 Mg.upf
Cd 112.41 Cd.upf
In 114.82 In.upf
CELL_PARAMETERS angstrom
5.035 0.000 0.000
2.517 4.360 0.000
2.517 1.453 9.925
ATOMIC_POSITIONS crystal
Ba 0.000 0.000 0.000
Mg 0.405 0.405 0.786
Mg 0.867 0.867 0.398
Mg 0.133 0.133 0.602
Mg 0.595 0.595 0.214
Cd 0.500 0.500 0.500
In 0.752 0.752 0.743
In 0.248 0.248 0.257
! - calculated formation energy (eV per atom) = -0.1455

***

# 10
! La2HoAgSe5 | the Alexandria database | GGA-PBE | relaxed; values from VASP
&SYSTEM
  ibrav = 0, nat = 18, ntyp = 4
/
ATOMIC_SPECIES
La 138.91 La.upf
Ho 164.93 Ho.upf
Ag 107.87 Ag.upf
Se 78.96 Se.upf
CELL_PARAMETERS angstrom
4.202 0.000 0.000
-2.101 8.833 0.000
0.000 0.000 12.594
ATOMIC_POSITIONS crystal
La 0.875 0.750 0.808
La 0.111 0.221 0.686
La 0.125 0.250 0.308
La 0.889 0.779 0.186
Ho 0.804 0.609 0.510
Ho 0.196 0.391 0.010
Ag 0.557 0.113 0.958
Ag 0.443 0.887 0.458
Se 0.358 0.716 0.001
Se 0.695 0.390 0.849
Se 0.497 0.995 0.771
Se 0.287 0.575 0.666
Se 0.954 0.907 0.576
Se 0.642 0.284 0.501
Se 0.305 0.610 0.349
Se 0.503 0.005 0.271
Se 0.713 0.425 0.166
Se 0.046 0.093 0.076
! - formation energy from raw total energies (eV per atom) = -1.6533

***

# 11
! NaEr3Tm2Te6 | the Alexandria database | GGA-PBE | relaxed; values from VASP
&SYSTEM
  ibrav = 0, nat = 12, ntyp = 4
/
ATOMIC_SPECIES
Na 22.99 Na.upf
Er 167.26 Er.upf
Tm 168.93 Tm.upf
Te 127.60 Te.upf
CELL_PARAMETERS angstrom
-2.906 1.523 2.804
1.253 -6.974 5.088
7.809 5.504 1.783
ATOMIC_POSITIONS crystal
Na 0.500 0.000 0.000
Er 0.500 0.500 0.000
Er 0.837 0.177 0.674
Er 0.163 0.823 0.326
Tm 0.831 0.658 0.662
Tm 0.169 0.342 0.338
Te 0.330 0.915 0.660
Te 0.666 0.582 0.332
Te 0.670 0.085 0.340
Te 0.003 0.253 0.006
Te 0.997 0.747 0.994
Te 0.334 0.418 0.668
! - formation energy from raw total energies (eV per atom) = -1.2327

***

# 12
! CsOs2PdO8 | the Alexandria database | GGA-PBE | relaxed; values from VASP
&SYSTEM
  ibrav = 0, nat = 12, ntyp = 4
/
ATOMIC_SPECIES
Cs 132.91 Cs.upf
Os 190.23 Os.upf
Pd 106.42 Pd.upf
O 16.00 O.upf
CELL_PARAMETERS angstrom
0.387 -2.047 4.934
-3.256 -4.237 0.354
5.893 -6.206 -1.720
ATOMIC_POSITIONS crystal
Cs 0.000 0.000 0.500
Os 0.604 0.604 0.202
Os 0.396 0.396 0.798
Pd 0.000 0.000 0.000
O 0.742 0.266 0.811
O 0.755 0.755 0.034
O 0.683 0.683 0.376
O 0.317 0.317 0.624
O 0.245 0.245 0.966
O 0.266 0.742 0.811
O 0.734 0.258 0.189
O 0.258 0.734 0.189
! - formation energy from raw total energies (eV per atom) = -0.9745

***

# 13
! K3Pr2MnSe6 | the Alexandria database | GGA-PBE | relaxed; values from VASP
&SYSTEM
  ibrav = 0, nat = 12, ntyp = 4
/
ATOMIC_SPECIES
K 39.10 K.upf
Pr 140.91 Pr.upf
Mn 54.94 Mn.upf
Se 78.96 Se.upf
CELL_PARAMETERS angstrom
7.362 -0.039 0.001
-3.713 6.358 0.001
-1.216 -2.106 7.694
ATOMIC_POSITIONS crystal
K 0.170 0.830 0.500
K 0.830 0.170 0.500
K 0.500 0.500 0.500
Pr 0.332 0.668 0.000
Pr 0.668 0.332 0.000
Mn 0.000 0.000 0.000
Se 0.929 0.619 0.793
Se 0.772 0.772 0.193
Se 0.071 0.381 0.207
Se 0.619 0.929 0.793
Se 0.228 0.228 0.807
Se 0.381 0.071 0.207
! - formation energy from raw total energies (eV per atom) = -1.3470

***

# 14
! NdThHgPt | the Alexandria database | GGA-PBE | relaxed; values from VASP
&SYSTEM
  ibrav = 0, nat = 4, ntyp = 4
/
ATOMIC_SPECIES
Pt 195.08 Pt.upf
Nd 144.24 Nd.upf
Hg 200.59 Hg.upf
Th 232.04 Th.upf
CELL_PARAMETERS angstrom
5.259 0.000 0.000
2.630 4.555 0.000
2.630 1.518 4.294
ATOMIC_POSITIONS crystal
Pt 0.000 0.000 0.000
Nd 0.750 0.750 0.750
Hg 0.500 0.500 0.500
Th 0.250 0.250 0.250
! - calculated formation energy (eV per atom) = -0.6135

***

# 15
! NaNp3S4 | the Alexandria database | GGA-PBE | relaxed; values from VASP
&SYSTEM
  ibrav = 0, nat = 8, ntyp = 3
/
ATOMIC_SPECIES
Np 237.00 Np.upf
Na 22.99 Na.upf
S 32.06 S.upf
CELL_PARAMETERS angstrom
-3.859 0.544 0.154
-0.934 -5.487 -4.046
-0.630 -5.574 3.899
ATOMIC_POSITIONS crystal
Np 0.500 0.000 0.500
Np 0.000 0.000 0.000
Np 0.000 0.500 0.500
Na 0.500 0.500 0.000
S 0.000 0.757 0.745
S 0.500 0.752 0.252
S 0.000 0.243 0.255
S 0.500 0.248 0.748
! - formation energy from raw total energies (eV per atom) = -1.2951

***

no.,DFT total energy (eV/atom)
1,-4.893
2,-5.972
3,-4.545
4,-1.609
5,-4.671
6,-3.686
7,-7.132
8,-4.401
9,-1.982
10,-5.510
11,-4.799
12,-6.655
13,-4.924
14,-5.246
15,-8.376